First-principles (GGA-PBE) data for a relaxed LaInSi2 crystal, as listed in the Alexandria database.

Cell: 4.1208 4.2256 5.3993 Å, 90.00 90.00 90.00°
Atoms (fractional coordinates):
La: 0.0000 0.0000 0.0000
In: 0.5000 0.0000 0.5391
Si: 0.0000 0.5000 0.4896
Si: 0.5000 0.5000 0.1897

Calculated values
E_tot = -4.923 eV per atom
Magnetic moment = 0.000 μB per cell